No. 1
FePb2Au after structural relaxation, computed with PBE-GGA.

a b c (Å): 4.938 4.938 4.938
angles (deg): 60.00 60.00 60.00
Sites, in units of the cell vectors:
1 Pb 0.250 0.250 0.250
2 Pb 0.750 0.750 0.750
3 Au 0.500 0.500 0.500
4 Fe 0.000 0.000 0.000

Calculated values
Its space-group type is No. 225. The value obtained for the total energy is -4.13 eV/atom. The excess energy over the best structure of this formula in the dataset is 0.438 eV per atom. As for the theoretical density: 13.009 g/cm3. Its formation energy from the elements is 664 meV/atom. As for the density of states at the Fermi level: 2.30 states/eV per atom.

=====

No. 2
FePb2Au after structural relaxation, computed with PBE-GGA.

a b c (Å): 4.609 4.609 9.550
angles (deg): 76.04 76.04 90.00
Sites, in units of the cell vectors:
1 Pb 0.602 0.125 0.250
2 Pb 0.148 0.625 0.250
3 Pb 0.375 0.398 0.750
4 Pb 0.875 0.852 0.750
5 Au 0.000 0.000 0.000
6 Au 0.750 0.250 0.500
7 Fe 0.500 0.500 0.000
8 Fe 0.250 0.750 0.500

Calculated values
Its space-group type is No. 122. The value obtained for the total energy is -4.08 eV/atom. The excess energy over the best structure of this formula in the dataset is 0.488 eV per atom. As for the theoretical density: 11.621 g/cm3. Its formation energy from the elements is 714 meV/atom. As for the density of states at the Fermi level: 1.60 states/eV per atom.